# Ac6CdNi2I3 | Alexandria via LeMat-Bulk | PBE-GGA | relaxed
# E_form (uncorrected) (meV per atom): -642
# Final energy (eV/f.u.): -49.5
# Density of states at the Fermi level (states/eV/f.u.): 8.13
# V (Å³/cell): 901.6
data_Ac6CdNi2I3
_chemical_formula_sum 'Ac12 Cd2 Ni4 I6'
_symmetry_space_group_name_H-M 'C 1 2/m 1'
_symmetry_Int_Tables_number 12
_cell_length_a 21.4099
_cell_length_b 4.3901
_cell_length_c 10.2097
_cell_angle_alpha 90.00
_cell_angle_beta 110.02
_cell_angle_gamma 90.00
loop_
_symmetry_equiv_pos_as_xyz
'x,y,z'
'-x,-y,-z'
'-x,y,-z'
'x,-y,z'
'x+1/2,y+1/2,z'
'-x+1/2,-y+1/2,-z'
'-x+1/2,y+1/2,-z'
'x+1/2,-y+1/2,z'
loop_
_atom_site_label
_atom_site_type_symbol
_atom_site_fract_x
_atom_site_fract_y
_atom_site_fract_z
Ac1 Ac 0.0259 0.0000 0.2537
Ac2 Ac 0.1632 0.5000 0.1383
Ac3 Ac 0.1829 0.5000 0.5490
Cd1 Cd 0.0000 0.5000 0.0000
Ni1 Ni 0.1712 0.0000 0.3429
I1 I 0.0000 0.5000 0.5000
I2 I 0.1604 0.0000 0.8338



# AcCdIO2 | Alexandria via LeMat-Bulk | PBE-GGA | relaxed
# E_form (uncorrected) (meV per atom): -1993
# Final energy (eV/f.u.): -26.5
# Density of states at the Fermi level (states/eV/f.u.): 0.00
# V (Å³/cell): 270.3
data_AcCdIO2
_chemical_formula_sum 'Ac2 Cd2 I2 O4'
_symmetry_space_group_name_H-M 'P 1 21/m 1'
_symmetry_Int_Tables_number 11
_cell_length_a 8.2683
_cell_length_b 4.4649
_cell_length_c 8.3877
_cell_angle_alpha 90.00
_cell_angle_beta 119.21
_cell_angle_gamma 90.00
loop_
_symmetry_equiv_pos_as_xyz
'x,y,z'
'-x,-y,-z'
'-x,y+1/2,-z'
'x,-y+1/2,z'
loop_
_atom_site_label
_atom_site_type_symbol
_atom_site_fract_x
_atom_site_fract_y
_atom_site_fract_z
Ac1 Ac 0.0534 0.2500 0.3407
Cd1 Cd 0.4326 0.7500 0.6029
I1 I 0.2514 0.2500 0.0184
O1 O 0.1077 0.7500 0.4814
O2 O 0.3794 0.2500 0.5235



# AcCdIO6 | Alexandria via LeMat-Bulk | PBE-GGA | relaxed
# E_form (uncorrected) (meV per atom): -1446
# Final energy (eV/f.u.): -49.3
# Density of states at the Fermi level (states/eV/f.u.): 0.00
# V (Å³/cell): 141.7
data_AcCdIO6
_chemical_formula_sum 'Ac1 Cd1 I1 O6'
_symmetry_space_group_name_H-M 'P 3 1 2'
_symmetry_Int_Tables_number 149
_cell_length_a 5.6108
_cell_length_b 5.6108
_cell_length_c 5.1971
_cell_angle_alpha 90.00
_cell_angle_beta 90.00
_cell_angle_gamma 120.00
loop_
_symmetry_equiv_pos_as_xyz
'x,y,z'
'-y,x-y,z'
'-x+y,-x,z'
'-y,-x,-z'
'-x+y,y,-z'
'x,x-y,-z'
loop_
_atom_site_label
_atom_site_type_symbol
_atom_site_fract_x
_atom_site_fract_y
_atom_site_fract_z
Ac1 Ac 0.0000 0.0000 0.0000
Cd1 Cd 0.3333 0.6667 0.5000
I1 I 0.6667 0.3333 0.5000
O1 O 0.3896 0.0532 0.7121



# AcCdI2O8 | Alexandria via LeMat-Bulk | PBE-GGA | relaxed
# E_form (uncorrected) (meV per atom): -923
# Final energy (eV/f.u.): -58.9
# Density of states at the Fermi level (states/eV/f.u.): 3.86
# V (Å³/cell): 424.7
data_AcCdI2O8
_chemical_formula_sum 'Ac2 Cd2 I4 O16'
_symmetry_space_group_name_H-M 'I -4 m 2'
_symmetry_Int_Tables_number 119
_symmetry_space_group_name_Hall 'I -4 -2'
_cell_length_a 7.7145
_cell_length_b 7.7145
_cell_length_c 7.1367
_cell_angle_alpha 90.00
_cell_angle_beta 90.00
_cell_angle_gamma 90.00
loop_
_atom_site_label
_atom_site_type_symbol
_atom_site_fract_x
_atom_site_fract_y
_atom_site_fract_z
Ac1 Ac 0.0000 0.0000 0.0000
Cd1 Cd 0.0000 0.5000 0.2500
I1 I 0.0000 0.0000 0.5000
I2 I 0.0000 0.5000 0.7500
O1 O 0.0000 0.1876 0.3169
O2 O 0.0000 0.3210 0.9362



# Ac4CdOsI2 | Alexandria via LeMat-Bulk | PBE-GGA | relaxed
# E_form (uncorrected) (meV per atom): -617
# Final energy (eV/f.u.): -36.6
# Density of states at the Fermi level (states/eV/f.u.): 5.00
# V (Å³/cell): 314.6
data_Ac4CdOsI2
_chemical_formula_sum 'Ac4 Cd1 Os1 I2'
_symmetry_space_group_name_H-M 'P 1 2/m 1'
_symmetry_Int_Tables_number 10
_cell_length_a 8.1543
_cell_length_b 4.4399
_cell_length_c 9.0630
_cell_angle_alpha 90.00
_cell_angle_beta 106.48
_cell_angle_gamma 90.00
loop_
_symmetry_equiv_pos_as_xyz
'x,y,z'
'-x,-y,-z'
'-x,y,-z'
'x,-y,z'
loop_
_atom_site_label
_atom_site_type_symbol
_atom_site_fract_x
_atom_site_fract_y
_atom_site_fract_z
Ac1 Ac 0.2086 0.0000 0.1856
Ac2 Ac 0.2224 0.5000 0.8006
Cd1 Cd 0.5000 0.0000 0.0000
Os1 Os 0.0000 0.5000 0.0000
I1 I 0.0000 0.0000 0.5000
I2 I 0.5000 0.5000 0.5000



# Ac6CdPd2I3 | Alexandria via LeMat-Bulk | PBE-GGA | relaxed
# E_form (uncorrected) (meV per atom): -799
# Final energy (eV/f.u.): -50.2
# Density of states at the Fermi level (states/eV/f.u.): 11.86
# V (Å³/cell): 920.0
data_Ac6CdPd2I3
_chemical_formula_sum 'Ac12 Cd2 Pd4 I6'
_symmetry_space_group_name_H-M 'C 1 2/m 1'
_symmetry_Int_Tables_number 12
_cell_length_a 7.9500
_cell_length_b 13.7077
_cell_length_c 8.8491
_cell_angle_alpha 90.00
_cell_angle_beta 107.44
_cell_angle_gamma 90.00
loop_
_symmetry_equiv_pos_as_xyz
'x,y,z'
'-x,-y,-z'
'-x,y,-z'
'x,-y,z'
'x+1/2,y+1/2,z'
'-x+1/2,-y+1/2,-z'
'-x+1/2,y+1/2,-z'
'x+1/2,-y+1/2,z'
loop_
_atom_site_label
_atom_site_type_symbol
_atom_site_fract_x
_atom_site_fract_y
_atom_site_fract_z
Ac1 Ac 0.2101 0.0000 0.1976
Ac2 Ac 0.2463 0.3220 0.2019
Cd1 Cd 0.0000 0.5000 0.0000
Pd1 Pd 0.0000 0.1679 0.0000
I1 I 0.0000 0.0000 0.5000
I2 I 0.0000 0.3417 0.5000



# Ac6CdPt2I3 | Alexandria via LeMat-Bulk | PBE-GGA | relaxed
# E_form (uncorrected) (meV per atom): -974
# Final energy (eV/f.u.): -54.0
# Density of states at the Fermi level (states/eV/f.u.): 10.51
# V (Å³/cell): 932.9
data_Ac6CdPt2I3
_chemical_formula_sum 'Ac12 Cd2 Pt4 I6'
_symmetry_space_group_name_H-M 'C 1 2/m 1'
_symmetry_Int_Tables_number 12
_cell_length_a 7.9639
_cell_length_b 13.7397
_cell_length_c 8.9334
_cell_angle_alpha 90.00
_cell_angle_beta 107.38
_cell_angle_gamma 90.00
loop_
_symmetry_equiv_pos_as_xyz
'x,y,z'
'-x,-y,-z'
'-x,y,-z'
'x,-y,z'
'x+1/2,y+1/2,z'
'-x+1/2,-y+1/2,-z'
'-x+1/2,y+1/2,-z'
'x+1/2,-y+1/2,z'
loop_
_atom_site_label
_atom_site_type_symbol
_atom_site_fract_x
_atom_site_fract_y
_atom_site_fract_z
Ac1 Ac 0.2058 0.0000 0.1929
Ac2 Ac 0.2456 0.3203 0.1950
Cd1 Cd 0.0000 0.5000 0.0000
Pt1 Pt 0.0000 0.1673 0.0000
I1 I 0.0000 0.0000 0.5000
I2 I 0.0000 0.3403 0.5000



# RbAcCdI6 | Alexandria via LeMat-Bulk | PBE-GGA | relaxed
# E_form (uncorrected) (meV per atom): -1195
# Final energy (eV/f.u.): -26.0
# Density of states at the Fermi level (states/eV/f.u.): 0.00
# V (Å³/cell): 937.5
data_RbAcCdI6
_chemical_formula_sum 'Rb2 Ac2 Cd2 I12'
_symmetry_space_group_name_H-M 'P -3 1 c'
_symmetry_Int_Tables_number 163
_symmetry_space_group_name_Hall '-P 3 2c'
_cell_length_a 8.1427
_cell_length_b 8.1427
_cell_length_c 16.3268
_cell_angle_alpha 90.00
_cell_angle_beta 90.00
_cell_angle_gamma 120.00
loop_
_atom_site_label
_atom_site_type_symbol
_atom_site_fract_x
_atom_site_fract_y
_atom_site_fract_z
Rb1 Rb 0.0000 0.0000 0.0000
Ac1 Ac 0.3333 0.6667 0.2500
Cd1 Cd 0.3333 0.6667 0.7500
I1 I 0.0217 0.3789 0.6381



# Ac6CdRh2I3 | Alexandria via LeMat-Bulk | PBE-GGA | relaxed
# E_form (uncorrected) (meV per atom): -863
# Final energy (eV/f.u.): -55.3
# Density of states at the Fermi level (states/eV/f.u.): 7.06
# V (Å³/cell): 916.9
data_Ac6CdRh2I3
_chemical_formula_sum 'Ac12 Cd2 Rh4 I6'
_symmetry_space_group_name_H-M 'C 1 2/m 1'
_symmetry_Int_Tables_number 12
_cell_length_a 7.8248
_cell_length_b 13.5426
_cell_length_c 9.0409
_cell_angle_alpha 90.00
_cell_angle_beta 106.85
_cell_angle_gamma 90.00
loop_
_symmetry_equiv_pos_as_xyz
'x,y,z'
'-x,-y,-z'
'-x,y,-z'
'x,-y,z'
'x+1/2,y+1/2,z'
'-x+1/2,-y+1/2,-z'
'-x+1/2,y+1/2,-z'
'x+1/2,-y+1/2,z'
loop_
_atom_site_label
_atom_site_type_symbol
_atom_site_fract_x
_atom_site_fract_y
_atom_site_fract_z
Ac1 Ac 0.2009 0.0000 0.1900
Ac2 Ac 0.2454 0.3186 0.1909
Cd1 Cd 0.0000 0.5000 0.0000
Rh1 Rh 0.0000 0.1670 0.0000
I1 I 0.0000 0.0000 0.5000
I2 I 0.0000 0.3379 0.5000



# Ac4CdRuI2 | Alexandria via LeMat-Bulk | PBE-GGA | relaxed
# E_form (uncorrected) (meV per atom): -658
# Final energy (eV/f.u.): -35.0
# Density of states at the Fermi level (states/eV/f.u.): 4.90
# V (Å³/cell): 313.1
data_Ac4CdRuI2
_chemical_formula_sum 'Ac4 Cd1 Ru1 I2'
_symmetry_space_group_name_H-M 'P 1 2/m 1'
_symmetry_Int_Tables_number 10
_cell_length_a 8.1753
_cell_length_b 4.4007
_cell_length_c 9.0743
_cell_angle_alpha 90.00
_cell_angle_beta 106.42
_cell_angle_gamma 90.00
loop_
_symmetry_equiv_pos_as_xyz
'x,y,z'
'-x,-y,-z'
'-x,y,-z'
'x,-y,z'
loop_
_atom_site_label
_atom_site_type_symbol
_atom_site_fract_x
_atom_site_fract_y
_atom_site_fract_z
Ac1 Ac 0.2104 0.0000 0.1860
Ac2 Ac 0.2207 0.5000 0.8010
Cd1 Cd 0.5000 0.0000 0.0000
Ru1 Ru 0.0000 0.5000 0.0000
I1 I 0.0000 0.0000 0.5000
I2 I 0.5000 0.5000 0.5000



# Ac3Cd6In5 | Alexandria via LeMat-Bulk | PBE-GGA | relaxed
# Final energy (eV/f.u.): -36.4
# DFT formation energy (eV/f.u.): -4.85
# Density of states at the Fermi level (states/eV/f.u.): 5.54
# V (Å³/cell): 774.7
data_Ac3Cd6In5
_chemical_formula_sum 'Ac6 Cd12 In10'
_symmetry_space_group_name_H-M 'P m m n'
_symmetry_Int_Tables_number 59
_cell_length_a 4.9134
_cell_length_b 14.4555
_cell_length_c 10.9079
_cell_angle_alpha 90.00
_cell_angle_beta 90.00
_cell_angle_gamma 90.00
loop_
_symmetry_equiv_pos_as_xyz
'x,y,z'
'-x,-y,-z'
'-x+1/2,-y+1/2,z'
'x+1/2,y+1/2,-z'
'x+1/2,-y,-z'
'-x+1/2,y,z'
'-x,y+1/2,-z'
'x,-y+1/2,z'
loop_
_atom_site_label
_atom_site_type_symbol
_atom_site_fract_x
_atom_site_fract_y
_atom_site_fract_z
Ac1 Ac 0.2500 0.0578 0.2479
Ac2 Ac 0.2500 0.7500 0.2499
Cd1 Cd 0.2500 0.0894 0.6148
Cd2 Cd 0.2500 0.2500 0.0471
Cd3 Cd 0.2500 0.2500 0.4493
Cd4 Cd 0.2500 0.6016 0.9767
In1 In 0.2500 0.0931 0.8765
In2 In 0.2500 0.6090 0.5282
In3 In 0.2500 0.7500 0.7630



# AcCd4In | Alexandria via LeMat-Bulk | PBE-GGA | relaxed
# Offset from the most stable computed form (meV/atom): 62
# Final energy (eV/f.u.): -11.5
# DFT formation energy (eV/f.u.): -1.00
# Density of states at the Fermi level (states/eV/f.u.): 3.97
# V (Å³/cell): 650.2
data_AcCd4In
_chemical_formula_sum 'Ac4 Cd16 In4'
_symmetry_space_group_name_H-M 'F -4 3 m'
_symmetry_Int_Tables_number 216
_symmetry_space_group_name_Hall 'F -4 2 3'
_cell_length_a 8.6634
_cell_length_b 8.6634
_cell_length_c 8.6634
_cell_angle_alpha 90.00
_cell_angle_beta 90.00
_cell_angle_gamma 90.00
loop_
_atom_site_label
_atom_site_type_symbol
_atom_site_fract_x
_atom_site_fract_y
_atom_site_fract_z
Ac1 Ac 0.0000 0.0000 0.0000
Cd1 Cd 0.1249 0.1249 0.3751
In1 In 0.2500 0.2500 0.7500



Q: The highest final energy belongs to which entry?
A: AcCd4In



Q: Look up the density of states at the Fermi level of the eighth one.
A: 0.00 states/eV/f.u.